Here is CaAuBr2 after structural relaxation from Alexandria via LeMat-Bulk. Energies are from PBE.

The structure belongs to space group C2/m (No. 12); the cell edges are 13.738, 3.973 and 5.230 Å and the angles 90.00°, 101.15° and 90.00°. The asymmetric unit holds Ca at (0.000, 0.000, 0.000), Au at (0.000, 0.500, 0.500) and Br at (0.146, 0.500, 0.178).

The calculation puts the energy relative to the lowest polymorph listed for this composition at 52.9 meV per atom.